Below is an optimized crystal structure of Sm7Cd2Rh2, with properties calculated at the PBE level.

Output
Energy of formation   -3.514 eV/f.u.
D(E_F)   11.62 states/eV per cell
Offset from the most stable computed form   0.0272 eV/atom

```
11
Lattice="4.0503 -5.5876 0.0000 4.0503 5.5876 0.0000 0.0000 0.0000 7.2969" Properties=species:S:1:pos:R:3 pbc="T T T"
Sm 0.0000 0.0000 0.0000
Sm 2.0252 2.7938 1.8417
Sm 2.0252 2.7938 5.4552
Sm 2.0252 -2.7938 1.8417
Sm 2.0252 -2.7938 5.4552
Sm 4.0503 0.0000 1.7874
Sm 4.0503 0.0000 5.5095
Cd 1.4077 0.0000 3.6484
Cd 6.6929 0.0000 3.6484
Rh 4.0503 2.3505 0.0000
Rh 4.0503 -2.3505 0.0000
```